[1]
K2SmCrSe4 after structural relaxation. Source: Alexandria via LeMat-Bulk, functional GGA-PBE.

## Properties
The calculation puts the total magnetic moment at 3.0 μB per formula unit. As for the raw formation energy: -28.1 kcal/mol of atoms.

Cell lengths 7.0350, 4.0974, 8.0131 Å; angles 90.00, 107.38, 90.00 degrees
Closest atoms and distances in Å follow each position.
Fractional positions:
K 0.0000 0.0000 0.0000  6 Se 3.42-3.43
K 0.5000 0.5000 0.0000  6 Se 3.21-3.23
Sm 0.0000 0.5000 0.5000  6 Se 2.90-2.92
Cr 0.5000 0.0000 0.5000  6 Se 2.66-2.68
Se 0.2615 0.0000 0.7024  1 Cr 2.66, 2 Sm 2.90
Se 0.2986 0.5000 0.3133  2 Cr 2.68, 1 Sm 2.92
Se 0.7014 0.5000 0.6867  2 Cr 2.68, 1 Sm 2.92
Se 0.7385 0.0000 0.2976  1 Cr 2.66, 2 Sm 2.90

***

[2]
K3Cr2SnSe6 after structural relaxation. Source: Alexandria via LeMat-Bulk, functional GGA-PBE.

## Properties
The calculation puts the total magnetic moment at 5.0 μB per formula unit. As for the raw formation energy: -18.4 kcal/mol of atoms.

Cell lengths 6.9025, 6.9025, 7.8177 Å; angles 98.54, 98.54, 120.02 degrees
Closest atoms and distances in Å follow each position.
Fractional positions:
K 0.0000 0.0000 0.0000  6 Se 3.17-3.37
K 0.3406 0.6594 0.0000  6 Se 3.20-3.38
K 0.6594 0.3406 0.0000  6 Se 3.20-3.38
Cr 0.1671 0.8329 0.5000  6 Se 2.59-2.60
Cr 0.8329 0.1671 0.5000  6 Se 2.59-2.60
Sn 0.5000 0.5000 0.5000  6 Se 2.85-2.86
Se 0.0755 0.4383 0.3160  2 Cr 2.59-2.60, 1 Sn 2.86
Se 0.1987 0.1987 0.6824  2 Cr 2.60, 1 Sn 2.85
Se 0.4383 0.0755 0.3160  2 Cr 2.59-2.60, 1 Sn 2.86
Se 0.5617 0.9245 0.6840  2 Cr 2.59-2.60, 1 Sn 2.86
Se 0.8013 0.8013 0.3176  2 Cr 2.60, 1 Sn 2.85
Se 0.9245 0.5617 0.6840  2 Cr 2.59-2.60, 1 Sn 2.86

***

Which formula does entry 1 have?
K2SmCrSe4

***

What is the formula in the second record?
K3Cr2SnSe6